A plane-wave DFT calculation with PBE was carried out for a relaxed CdTcPt2 crystal.

Calculated values
The value obtained for the energy relative to the elements is -0.030 eV/atom. The calculated total energy comes out at -23.48 eV per formula unit. As for the symmetry: P4mm, No. 99. The density of states at the Fermi level is 1.48 states/eV per cell. As for the spin magnetization: 0.000 Bohr magnetons per cell. The calculation puts the volume at 65.2 Å³ per cell.

Lattice parameters (Å, degrees): 2.8200 2.8200 8.2001 90.00 90.00 90.00
Fractional coordinates of all 4 atoms:
Cd1 0.0000 0.0000 0.0000
Tc1 0.5000 0.5000 0.7311
Pt1 0.0000 0.0000 0.5133
Pt2 0.5000 0.5000 0.2615

A plane-wave DFT calculation with PBE was carried out for a relaxed Cd2TcPt crystal.

Calculated values
The energy relative to the lowest polymorph listed for this composition is 127 meV per atom. The value obtained for the energy relative to the elements is 0.159 eV/atom. The calculated total energy comes out at -17.60 eV per formula unit. As for the symmetry: Cm, No. 8. The density of states at the Fermi level is 6.31 states/eV per cell. As for the spin magnetization: 0.001 Bohr magnetons per cell. The calculation puts the volume at 139.8 Å³ per cell.

Lattice parameters (Å, degrees): 9.5834 2.8196 5.2436 90.00 99.36 90.00
Fractional coordinates of all 8 atoms:
Cd1 0.0000 0.0000 0.0000
Cd2 0.2387 0.0000 0.7498
Cd3 0.5000 0.5000 0.0000
Cd4 0.7387 0.5000 0.7498
Tc1 0.2521 0.5000 0.2684
Tc2 0.7521 0.0000 0.2684
Pt1 0.4857 0.0000 0.4737
Pt2 0.9857 0.5000 0.4737

A plane-wave DFT calculation with PBE was carried out for a relaxed Cd2TcPt crystal.

Calculated values
The energy relative to the lowest polymorph listed for this composition is 112 meV per atom. The value obtained for the energy relative to the elements is 0.144 eV/atom. The calculated total energy comes out at -17.66 eV per formula unit. As for the symmetry: Pmm2, No. 25. The density of states at the Fermi level is 3.38 states/eV per cell. As for the spin magnetization: 0.215 Bohr magnetons per cell. The calculation puts the volume at 70.1 Å³ per cell.

Lattice parameters (Å, degrees): 2.8254 4.0440 6.1390 90.00 90.00 90.00
Fractional coordinates of all 4 atoms:
Cd1 0.0000 0.0000 0.0000
Cd2 0.5000 0.5000 0.2740
Tc1 0.5000 0.5000 0.7432
Pt1 0.0000 0.0000 0.5358

A plane-wave DFT calculation with PBE was carried out for a relaxed Cd2TcPt crystal.

Calculated values
The energy relative to the lowest polymorph listed for this composition is 198 meV per atom. The value obtained for the energy relative to the elements is 0.230 eV/atom. The calculated total energy comes out at -17.32 eV per formula unit. As for the symmetry: Immm, No. 71. The density of states at the Fermi level is 6.30 states/eV per cell. As for the spin magnetization: 1.512 Bohr magnetons per cell. The calculation puts the volume at 140.6 Å³ per cell.

Lattice parameters (Å, degrees): 2.8499 4.9871 9.8952 90.00 90.00 90.00
Fractional coordinates of all 8 atoms:
Cd1 0.0000 0.0000 0.2450
Cd2 0.0000 0.0000 0.7550
Cd3 0.5000 0.5000 0.2550
Cd4 0.5000 0.5000 0.7450
Tc1 0.0000 0.5000 0.0000
Tc2 0.5000 0.0000 0.5000
Pt1 0.0000 0.5000 0.5000
Pt2 0.5000 0.0000 0.0000

A plane-wave DFT calculation with PBE was carried out for a relaxed Cd2TcPt crystal.

Calculated values
The energy relative to the lowest polymorph listed for this composition is 232 meV per atom. The value obtained for the energy relative to the elements is 0.265 eV/atom. The calculated total energy comes out at -17.18 eV per formula unit. As for the symmetry: I4/mmm, No. 139. The density of states at the Fermi level is 7.11 states/eV per cell. As for the spin magnetization: 4.987 Bohr magnetons per cell. The calculation puts the volume at 142.6 Å³ per cell.

Lattice parameters (Å, degrees): 4.3026 4.3026 7.7006 90.00 90.00 90.00
Fractional coordinates of all 8 atoms:
Cd1 0.0000 0.5000 0.2500
Cd2 0.0000 0.5000 0.7500
Cd3 0.5000 0.0000 0.2500
Cd4 0.5000 0.0000 0.7500
Tc1 0.0000 0.0000 0.0000
Tc2 0.5000 0.5000 0.5000
Pt1 0.0000 0.0000 0.5000
Pt2 0.5000 0.5000 0.0000

A plane-wave DFT calculation with PBE was carried out for a relaxed CdTcPt2 crystal.

Calculated values
The value obtained for the energy relative to the elements is 0.018 eV/atom. The calculated total energy comes out at -23.29 eV per formula unit. As for the symmetry: R3m, No. 160. The density of states at the Fermi level is 9.61 states/eV per cell. As for the spin magnetization: 0.000 Bohr magnetons per cell. The calculation puts the volume at 195.1 Å³ per cell.

Lattice parameters (Å, degrees): 2.8317 2.8317 28.0929 90.00 90.00 120.00
Fractional coordinates of all 12 atoms:
Cd1 0.0000 0.0000 0.0000
Cd2 0.3333 0.6667 0.6667
Cd3 0.6667 0.3333 0.3333
Tc1 0.0000 0.0000 0.7540
Tc2 0.3333 0.6667 0.4207
Tc3 0.6667 0.3333 0.0874
Pt1 0.0000 0.0000 0.2470
Pt2 0.0000 0.0000 0.4960
Pt3 0.3333 0.6667 0.1627
Pt4 0.3333 0.6667 0.9137
Pt5 0.6667 0.3333 0.5803
Pt6 0.6667 0.3333 0.8294

A plane-wave DFT calculation with PBE was carried out for a relaxed Cd2TcPt2 crystal.

Calculated values
The value obtained for the energy relative to the elements is 0.140 eV/atom. The calculated total energy comes out at -23.58 eV per formula unit. As for the symmetry: P4/mbm, No. 127. The density of states at the Fermi level is 5.88 states/eV per cell. As for the spin magnetization: 3.586 Bohr magnetons per cell. The calculation puts the volume at 188.5 Å³ per cell.

Lattice parameters (Å, degrees): 6.7331 6.7331 4.1571 90.00 90.00 90.00
Fractional coordinates of all 10 atoms:
Cd1 0.1706 0.3294 0.0000
Cd2 0.3294 0.8294 0.0000
Cd3 0.6706 0.1706 0.0000
Cd4 0.8294 0.6706 0.0000
Tc1 0.0000 0.0000 0.5000
Tc2 0.5000 0.5000 0.5000
Pt1 0.1356 0.6356 0.5000
Pt2 0.3644 0.1356 0.5000
Pt3 0.6356 0.8644 0.5000
Pt4 0.8644 0.3644 0.5000

A plane-wave DFT calculation with PBE was carried out for a relaxed CdTcPt2 crystal.

Calculated values
The value obtained for the energy relative to the elements is 0.142 eV/atom. The calculated total energy comes out at -22.80 eV per formula unit. As for the symmetry: P4/mmm, No. 123. The density of states at the Fermi level is 4.19 states/eV per cell. As for the spin magnetization: 2.474 Bohr magnetons per cell. The calculation puts the volume at 66.2 Å³ per cell.

Lattice parameters (Å, degrees): 4.0894 4.0894 3.9602 90.00 90.00 90.00
Fractional coordinates of all 4 atoms:
Cd1 0.0000 0.0000 0.0000
Tc1 0.5000 0.5000 0.0000
Pt1 0.0000 0.5000 0.5000
Pt2 0.5000 0.0000 0.5000

A plane-wave DFT calculation with PBE was carried out for a relaxed Cd2TcPt crystal.

Calculated values
The energy relative to the lowest polymorph listed for this composition is 140 meV per atom. The value obtained for the energy relative to the elements is 0.172 eV/atom. The calculated total energy comes out at -17.55 eV per formula unit. As for the symmetry: R-3m, No. 166. The density of states at the Fermi level is 7.14 states/eV per cell. As for the spin magnetization: 0.000 Bohr magnetons per cell. The calculation puts the volume at 207.4 Å³ per cell.

Lattice parameters (Å, degrees): 2.8977 2.8977 28.5186 90.00 90.00 120.00
Fractional coordinates of all 12 atoms:
Cd1 0.0000 0.0000 0.2498
Cd2 0.0000 0.0000 0.7502
Cd3 0.3333 0.6667 0.4168
Cd4 0.3333 0.6667 0.9165
Cd5 0.6667 0.3333 0.0835
Cd6 0.6667 0.3333 0.5832
Tc1 0.0000 0.0000 0.0000
Tc2 0.3333 0.6667 0.6667
Tc3 0.6667 0.3333 0.3333
Pt1 0.0000 0.0000 0.5000
Pt2 0.3333 0.6667 0.1667
Pt3 0.6667 0.3333 0.8333

A plane-wave DFT calculation with PBE was carried out for a relaxed CdTcPt2 crystal.

Calculated values
The value obtained for the energy relative to the elements is 0.054 eV/atom. The calculated total energy comes out at -23.15 eV per formula unit. As for the symmetry: I4/mmm, No. 139. The density of states at the Fermi level is 8.32 states/eV per cell. As for the spin magnetization: 3.604 Bohr magnetons per cell. The calculation puts the volume at 130.8 Å³ per cell.

Lattice parameters (Å, degrees): 4.0699 4.0699 7.8990 90.00 90.00 90.00
Fractional coordinates of all 8 atoms:
Cd1 0.0000 0.0000 0.0000
Cd2 0.5000 0.5000 0.5000
Tc1 0.0000 0.0000 0.5000
Tc2 0.5000 0.5000 0.0000
Pt1 0.0000 0.5000 0.2500
Pt2 0.0000 0.5000 0.7500
Pt3 0.5000 0.0000 0.2500
Pt4 0.5000 0.0000 0.7500

A plane-wave DFT calculation with PBE was carried out for a relaxed CdTc4Pt crystal.

Calculated values
The value obtained for the energy relative to the elements is 0.406 eV/atom. The calculated total energy comes out at -45.98 eV per formula unit. As for the symmetry: F-43m, No. 216. The density of states at the Fermi level is 8.38 states/eV per cell. As for the spin magnetization: 0.000 Bohr magnetons per cell. The calculation puts the volume at 97.6 Å³ per cell.

Lattice parameters (Å, degrees): 5.1676 5.1676 5.1676 60.00 60.00 60.00
Fractional coordinates of all 6 atoms:
Cd1 0.0000 0.0000 0.0000
Tc1 0.1274 0.6242 0.6242
Tc2 0.6242 0.1274 0.6242
Tc3 0.6242 0.6242 0.1274
Tc4 0.6242 0.6242 0.6242
Pt1 0.2500 0.2500 0.2500

A plane-wave DFT calculation with PBE was carried out for a relaxed Cd2TcPt crystal.

Calculated values
The energy relative to the lowest polymorph listed for this composition is 202 meV per atom. The value obtained for the energy relative to the elements is 0.235 eV/atom. The calculated total energy comes out at -17.30 eV per formula unit. As for the symmetry: F-43m, No. 216. The density of states at the Fermi level is 5.00 states/eV per cell. As for the spin magnetization: 10.415 Bohr magnetons per cell. The calculation puts the volume at 286.1 Å³ per cell.

Lattice parameters (Å, degrees): 6.5896 6.5896 6.5896 90.00 90.00 90.00
Fractional coordinates of all 16 atoms:
Cd1 0.0000 0.0000 0.0000
Cd2 0.0000 0.5000 0.5000
Cd3 0.2500 0.2500 0.2500
Cd4 0.2500 0.7500 0.7500
Cd5 0.5000 0.0000 0.5000
Cd6 0.5000 0.5000 0.0000
Cd7 0.7500 0.2500 0.7500
Cd8 0.7500 0.7500 0.2500
Tc1 0.2500 0.2500 0.7500
Tc2 0.2500 0.7500 0.2500
Tc3 0.7500 0.2500 0.2500
Tc4 0.7500 0.7500 0.7500
Pt1 0.0000 0.0000 0.5000
Pt2 0.0000 0.5000 0.0000
Pt3 0.5000 0.0000 0.0000
Pt4 0.5000 0.5000 0.5000